Record 1
KCu3Cl (PBE, optimized geometry); formation energy (no corrections) = 143 kJ per mole of atoms; symmetry = Pm-3m, No. 221
1.0
5.3993 0.0000 0.0000
0.0000 5.3993 0.0000
0.0000 0.0000 5.3993
K Cu Cl
1 3 1
Direct
0.0000 0.0000 0.0000
0.0000 0.5000 0.0000
0.0000 0.0000 0.5000
0.5000 0.0000 0.0000
0.5000 0.5000 0.5000


Record 2
ScNbBi2Rh (PBE, optimized geometry); ΔH_f (0 K) = 0.57 eV per atom; symmetry = P4/mmm, No. 123
1.0
5.4471 0.0000 0.0000
0.0000 4.7829 0.0000
0.0000 0.0000 5.4471
Sc Nb Rh Bi
1 1 1 2
Direct
0.5000 0.5000 0.5000
0.0000 0.0000 0.0000
0.0000 0.5000 0.0000
0.0000 0.0000 0.5000
0.5000 0.0000 0.0000


no.,V (A^3/atom)
1,31.5
2,28.4